1.
# PBE Nd2Sm12Er5, optimized geometry
# E   -86.801 eV per cell
# Offset from the most stable computed form   0 kJ/mol of formula units
# Energy of formation from the pure elements   0.115 eV/atom
data_Nd2Sm12Er5
_symmetry_space_group_name_H-M 'P 1'
_symmetry_Int_Tables_number 1
_symmetry_space_group_name_Hall 'P 1'
_cell_length_a 11.664
_cell_length_b 8.712
_cell_length_c 9.379
_cell_angle_alpha 70.93
_cell_angle_beta 90.00
_cell_angle_gamma 132.02
loop_
_atom_site_label
_atom_site_type_symbol
_atom_site_fract_x
_atom_site_fract_y
_atom_site_fract_z
Nd1 Nd 0.724 0.000 0.000
Nd2 Nd 0.276 0.000 0.000
Sm1 Sm 0.117 0.233 0.060
Sm2 Sm 0.049 0.605 0.803
Sm3 Sm 0.556 0.605 0.803
Sm4 Sm 0.171 0.785 0.416
Sm5 Sm 0.614 0.785 0.416
Sm6 Sm 0.422 0.844 0.782
Sm7 Sm 0.578 0.156 0.218
Sm8 Sm 0.829 0.215 0.584
Sm9 Sm 0.386 0.215 0.584
Sm10 Sm 0.951 0.395 0.197
Sm11 Sm 0.444 0.395 0.197
Sm12 Sm 0.883 0.767 0.940
Er1 Er 0.198 0.396 0.660
Er2 Er 0.310 0.619 0.234
Er3 Er 0.000 0.000 0.500
Er4 Er 0.690 0.381 0.766
Er5 Er 0.802 0.604 0.340


2.
# PBE Pr3Y5Tm4, optimized geometry
# E   -61.602 eV per cell
# Offset from the most stable computed form   257 kJ/mol of formula units
# Energy of formation from the pure elements   0.245 eV/atom
data_Pr3Y5Tm4
_symmetry_space_group_name_H-M 'P 1'
_symmetry_Int_Tables_number 1
_symmetry_space_group_name_Hall 'P 1'
_cell_length_a 5.930
_cell_length_b 8.582
_cell_length_c 9.668
_cell_angle_alpha 106.10
_cell_angle_beta 72.14
_cell_angle_gamma 69.79
loop_
_atom_site_label
_atom_site_type_symbol
_atom_site_fract_x
_atom_site_fract_y
_atom_site_fract_z
Pr1 Pr 0.520 0.688 0.273
Pr2 Pr 0.000 0.500 0.500
Pr3 Pr 0.480 0.312 0.727
Y1 Y 0.624 0.950 0.801
Y2 Y 0.500 0.500 0.500
Y3 Y 0.217 0.455 0.111
Y4 Y 0.783 0.545 0.889
Y5 Y 0.376 0.050 0.199
Tm1 Tm 0.860 0.221 0.059
Tm2 Tm 0.165 0.044 0.626
Tm3 Tm 0.835 0.956 0.374
Tm4 Tm 0.140 0.779 0.941


3.
# PBE SbTeC, optimized geometry
# E   -59.114 eV per cell
# Offset from the most stable computed form   4 kJ/mol of formula units
data_SbTeC
_symmetry_space_group_name_H-M 'P 1'
_symmetry_Int_Tables_number 1
_symmetry_space_group_name_Hall 'P 1'
_cell_length_a 9.314
_cell_length_b 4.133
_cell_length_c 11.999
_cell_angle_alpha 90.00
_cell_angle_beta 128.43
_cell_angle_gamma 90.00
loop_
_atom_site_label
_atom_site_type_symbol
_atom_site_fract_x
_atom_site_fract_y
_atom_site_fract_z
Sb1 Sb 0.614 0.000 0.287
Sb2 Sb 0.614 0.500 0.787
Sb3 Sb 0.991 0.000 0.551
Sb4 Sb 0.991 0.500 0.051
C1 C 0.501 0.661 0.356
C2 C 0.501 0.339 0.356
C3 C 0.501 0.161 0.856
C4 C 0.501 0.839 0.856
Te1 Te 0.386 0.000 0.417
Te2 Te 0.386 0.500 0.917
Te3 Te 0.059 0.000 0.923
Te4 Te 0.059 0.500 0.423


Among the records above, which one has the lowest offset from the most stable computed form?
Nd2Sm12Er5


Look up the E of the third one.
-59.114 eV per cell


Which of these has the highest offset from the most stable computed form?
Pr3Y5Tm4


Among the records above, which one has the highest E?
SbTeC